DFT (PBEsol) results for CoSe2Br after structural relaxation.

Symmetry: Pmmm
Formation energy from raw total energies in eV per atom: 0.07
Crystal system: orthorhombic
Offset from the most stable computed form in meV per atom: 327.1
Density of states at the Fermi level in states/eV per cell: 2.9

a = 2.744 Å, b = 3.065 Å, c = 9.117 Å
α = 90.00°, β = 90.00°, γ = 90.00°
Positions (direct):
Co 0.000 0.000 0.000
Se 0.500 0.500 0.162
Se 0.500 0.500 0.838
Br 0.000 0.000 0.500


DFT (PBEsol) results for Sc2MoPt after structural relaxation.

Symmetry: C2/m
Crystal system: monoclinic
ΔH_f (0 K) in eV per atom: -0.21
Density of states at the Fermi level in states/eV per cell: 3.5

a = 4.662 Å, b = 4.662 Å, c = 5.502 Å
α = 98.53°, β = 98.53°, γ = 35.91°
Positions (direct):
Sc 0.246 0.246 0.249
Sc 0.754 0.754 0.751
Mo 0.000 0.000 0.500
Pt 0.500 0.500 0.000


DFT (PBEsol) results for CaHfWI2 after structural relaxation.

Symmetry: P4/mmm
Formation energy from raw total energies in eV per atom: 1.38
Crystal system: tetragonal
Density of states at the Fermi level in states/eV per cell: 6.8

a = 5.216 Å, b = 5.216 Å, c = 5.681 Å
α = 90.00°, β = 90.00°, γ = 90.00°
Positions (direct):
Ca 0.000 0.000 0.000
Hf 0.500 0.500 0.000
W 0.000 0.000 0.500
I 0.000 0.500 0.500
I 0.500 0.000 0.500


DFT (PBEsol) results for CsMoPO6 after structural relaxation.

Symmetry: Fddd
Formation energy from raw total energies in eV per atom: -2.18
Crystal system: orthorhombic
Density of states at the Fermi level in states/eV per cell: 0.0

a = 10.249 Å, b = 9.741 Å, c = 8.409 Å
α = 68.30°, β = 62.03°, γ = 49.67°
Positions (direct):
Cs 0.069 0.681 0.681
Cs 0.319 0.931 0.931
Cs 0.681 0.069 0.069
Cs 0.931 0.319 0.319
Mo 0.157 0.593 0.157
Mo 0.407 0.843 0.407
Mo 0.593 0.157 0.593
Mo 0.843 0.407 0.843
P 0.245 0.245 0.505
P 0.495 0.495 0.755
P 0.505 0.505 0.245
P 0.755 0.755 0.495
O 0.039 0.335 0.607
O 0.064 0.547 0.080
O 0.080 0.810 0.064
O 0.190 0.920 0.453
O 0.271 0.323 0.306
O 0.306 0.600 0.271
O 0.323 0.271 0.600
O 0.335 0.039 0.520
O 0.393 0.480 0.961
O 0.400 0.694 0.677
O 0.453 0.936 0.190
O 0.480 0.393 0.665
O 0.520 0.607 0.335
O 0.547 0.064 0.810
O 0.600 0.306 0.323
O 0.607 0.520 0.039
O 0.665 0.961 0.480
O 0.677 0.729 0.400
O 0.694 0.400 0.729
O 0.729 0.677 0.694
O 0.810 0.080 0.547
O 0.920 0.190 0.936
O 0.936 0.453 0.920
O 0.961 0.665 0.393


DFT (PBEsol) results for Sm6MnSi2S14 after structural relaxation.

Symmetry: P3
Formation energy from raw total energies in eV per atom: -1.65
Crystal system: trigonal

a = 9.937 Å, b = 9.937 Å, c = 5.603 Å
α = 90.00°, β = 90.00°, γ = 120.00°
Positions (direct):
Sm 0.024 0.459 0.000
Sm 0.309 0.207 0.506
Sm 0.435 0.976 0.000
Sm 0.541 0.565 0.000
Sm 0.793 0.103 0.506
Sm 0.897 0.691 0.506
Mn 0.667 0.333 0.240
Si 0.000 0.000 0.091
Si 0.333 0.667 0.584
S 0.000 0.000 0.717
S 0.080 0.226 0.237
S 0.146 0.920 0.237
S 0.187 0.746 0.732
S 0.254 0.441 0.732
S 0.333 0.667 0.210
S 0.419 0.247 0.997
S 0.507 0.086 0.479
S 0.559 0.813 0.732
S 0.578 0.493 0.479
S 0.753 0.172 0.997
S 0.774 0.854 0.237
S 0.828 0.581 0.997
S 0.914 0.422 0.479


DFT (PBEsol) results for CrCo4P after structural relaxation.

Symmetry: F-43m
Crystal system: cubic
ΔH_f (0 K) in eV per atom: 0.33
Density of states at the Fermi level in states/eV per cell: 10.7

a = 4.532 Å, b = 4.532 Å, c = 4.532 Å
α = 60.00°, β = 60.00°, γ = 60.00°
Positions (direct):
Cr 0.000 0.000 0.000
Co 0.124 0.625 0.625
Co 0.625 0.124 0.625
Co 0.625 0.625 0.124
Co 0.625 0.625 0.625
P 0.250 0.250 0.250


DFT (PBEsol) results for ReAg2Cl after structural relaxation.

Symmetry: I-4m2
Formation energy from raw total energies in eV per atom: 1.17
Crystal system: tetragonal
Offset from the most stable computed form in meV per atom: 816.6
Density of states at the Fermi level in states/eV per cell: 3.9

a = 4.889 Å, b = 4.889 Å, c = 4.889 Å
α = 129.99°, β = 129.99°, γ = 73.42°
Positions (direct):
Re 0.000 0.000 0.000
Ag 0.500 0.500 0.000
Ag 0.750 0.250 0.500
Cl 0.250 0.750 0.500


DFT (PBEsol) results for SnP after structural relaxation.

Symmetry: Fm-3m
Crystal system: cubic
ΔH_f (0 K) in eV per atom: -0.04
Density of states at the Fermi level in states/eV per cell: 0.8

a = 3.896 Å, b = 3.896 Å, c = 3.896 Å
α = 60.00°, β = 60.00°, γ = 60.00°
Positions (direct):
Sn 0.000 0.000 0.000
P 0.500 0.500 0.500


| no. | electronic total energy (eV per cell) |
| --- | --- |
| 1 | -17.02 |
| 2 | -32.78 |
| 3 | -23.06 |
| 4 | -278.47 |
| 5 | -151.21 |
| 6 | -45.02 |
| 7 | -17.29 |
| 8 | -10.14 |